[1]
Below is a relaxed Pr2BPt5 crystal, with properties calculated at the PBE level.

Calculated values
symmetry	I4mm (107)
energy of formation	-0.874	eV/atom

Lattice parameters (Å, degrees): 6.2355 6.2355 6.2355 124.43 124.43 82.48
Last column: nearest neighbours and their distance in Å.
Fractional positions:
Pr1 0.0000 0.5000 0.5000  10 Pt 2.94-3.13
Pr2 0.5000 0.0000 0.5000  10 Pt 2.94-3.13
B1 0.1824 0.1824 0.0000  5 Pt 2.15-2.16
Pt1 0.4993 0.4993 0.5033  1 B 2.16
Pt2 0.4993 0.9959 0.0000  1 B 2.16
Pt3 0.9533 0.9533 0.0000  1 B 2.15
Pt4 0.9959 0.4993 0.0000  1 B 2.16
Pt5 0.9959 0.9959 0.4967  1 B 2.16

***

[2]
Below is a relaxed PrBPtRh crystal, with properties calculated at the PBE level.

Calculated values
symmetry	Amm2 (38)
energy of formation	-0.449	eV/atom

Lattice parameters (Å, degrees): 3.9767 5.4612 5.4612 41.18 90.00 90.00
Last column: nearest neighbours and their distance in Å.
Fractional positions:
Pr1 0.0000 0.0000 0.0000  3 Pt 2.86-2.96, 2 Rh 3.08, 4 B 3.13
B1 0.5000 0.3560 0.3560  2 Rh 2.11, 2 Pt 2.13
Pt1 0.0000 0.2800 0.2800  2 B 2.13
Rh1 0.5000 0.7697 0.7697  2 B 2.11

***

[3]
Below is a relaxed Pr3B2Pt9Rh crystal, with properties calculated at the PBE level.

Calculated values
symmetry	P-3m1 (164)
energy of formation	-0.705	eV/atom

Lattice parameters (Å, degrees): 5.7812 5.7812 9.5499 90.00 90.00 120.00
Last column: nearest neighbours and their distance in Å.
Fractional positions:
Pr1 0.0000 0.0000 0.0000  12 Pt 2.89-3.10
Pr2 0.3333 0.6667 0.5958  9 Pt 3.14-3.50, 3 Rh 3.46
Pr3 0.6667 0.3333 0.4042  9 Pt 3.14-3.50, 3 Rh 3.46
B1 0.3333 0.6667 0.1473  6 Pt 2.11-2.18
B2 0.6667 0.3333 0.8527  6 Pt 2.11-2.18
Pt1 0.0000 0.5000 0.0000  2 B 2.18
Pt2 0.1625 0.3249 0.2766  1 B 2.11
Pt3 0.1625 0.8375 0.2766  1 B 2.11
Pt4 0.3249 0.1625 0.7234  1 B 2.11
Pt5 0.5000 0.0000 0.0000  2 B 2.18
Pt6 0.5000 0.5000 0.0000  2 B 2.18
Pt7 0.6751 0.8375 0.2766  1 B 2.11
Pt8 0.8375 0.1625 0.7234  1 B 2.11
Pt9 0.8375 0.6751 0.7234  1 B 2.11
Rh1 0.0000 0.0000 0.5000  6 Pt 2.68

***

[4]
Below is a relaxed Pr2B2PtRh5 crystal, with properties calculated at the PBE level.

Calculated values
symmetry	P4/mbm (127)
energy of formation	-0.529	eV/atom

Lattice parameters (Å, degrees): 9.7736 9.7736 3.2506 90.00 90.00 90.00
Last column: nearest neighbours and their distance in Å.
Fractional positions:
Pr1 0.1788 0.3212 0.0000  3 B 2.77-2.98, 10 Rh 2.96-3.05
Pr2 0.3212 0.8212 0.0000  3 B 2.77-2.98, 10 Rh 2.96-3.05
Pr3 0.6788 0.1788 0.0000  3 B 2.77-2.98, 10 Rh 2.96-3.05
Pr4 0.8212 0.6788 0.0000  3 B 2.77-2.98, 10 Rh 2.96-3.05
B1 0.1206 0.6206 0.0000  6 Rh 2.24-2.33
B2 0.3794 0.1206 0.0000  6 Rh 2.24-2.33
B3 0.6206 0.8794 0.0000  6 Rh 2.24-2.33
B4 0.8794 0.3794 0.0000  6 Rh 2.24-2.33
Pt1 0.0000 0.0000 0.0000  8 Rh 2.85
Pt2 0.5000 0.5000 0.0000  8 Rh 2.85
Rh1 0.0000 0.5000 0.5000  4 B 2.33
Rh2 0.0693 0.7704 0.5000  2 B 2.24
Rh3 0.2296 0.0693 0.5000  2 B 2.24
Rh4 0.2704 0.5693 0.5000  2 B 2.24
Rh5 0.4307 0.2704 0.5000  2 B 2.24
Rh6 0.5000 0.0000 0.5000  4 B 2.33
Rh7 0.5693 0.7296 0.5000  2 B 2.24
Rh8 0.7296 0.4307 0.5000  2 B 2.24
Rh9 0.7704 0.9307 0.5000  2 B 2.24
Rh10 0.9307 0.2296 0.5000  2 B 2.24

***

[5]
Below is a relaxed Pr2B3PtRh12 crystal, with properties calculated at the PBE level.

Calculated values
symmetry	R-3m (166)
energy of formation	-0.074	eV/atom

Lattice parameters (Å, degrees): 7.2673 7.2673 7.2673 62.22 62.22 62.22
Last column: nearest neighbours and their distance in Å.
Fractional positions:
Pr1 0.0914 0.0914 0.0914  6 Rh 2.77-2.87
Pr2 0.9086 0.9086 0.9086  6 Rh 2.77-2.87
B1 0.0000 0.5000 0.5000  6 Rh 2.04-2.11
B2 0.5000 0.0000 0.5000  6 Rh 2.04-2.11
B3 0.5000 0.5000 0.0000  6 Rh 2.04-2.11
Pt1 0.5000 0.5000 0.5000  12 Rh 2.74-2.94
Rh1 0.0505 0.6521 0.6521  1 B 2.11
Rh2 0.2328 0.2328 0.6217  2 B 2.04
Rh3 0.2328 0.6217 0.2328  2 B 2.04
Rh4 0.3479 0.3479 0.9495  1 B 2.11
Rh5 0.3479 0.9495 0.3479  1 B 2.11
Rh6 0.3783 0.7672 0.7672  2 B 2.04
Rh7 0.6217 0.2328 0.2328  2 B 2.04
Rh8 0.6521 0.0505 0.6521  1 B 2.11
Rh9 0.6521 0.6521 0.0505  1 B 2.11
Rh10 0.7672 0.3784 0.7672  2 B 2.04
Rh11 0.7672 0.7672 0.3783  2 B 2.04
Rh12 0.9495 0.3479 0.3479  1 B 2.11

***

[6]
Below is a relaxed PrBPtRh2 crystal, with properties calculated at the PBE level.

Calculated values
symmetry	P4/mmm (123)
energy of formation	-0.747	eV/atom

Lattice parameters (Å, degrees): 4.3248 4.3248 4.2749 90.00 90.00 90.00
Last column: nearest neighbours and their distance in Å.
Fractional positions:
Pr1 0.0000 0.0000 0.0000  8 Rh 3.04, 4 Pt 3.06
B1 0.5000 0.5000 0.5000  2 Pt 2.14, 4 Rh 2.16
Pt1 0.5000 0.5000 0.0000  2 B 2.14
Rh1 0.0000 0.5000 0.5000  2 B 2.16
Rh2 0.5000 0.0000 0.5000  2 B 2.16

***

[7]
Below is a relaxed Pr3SiB2Pt9 crystal, with properties calculated at the PBE level.

Calculated values
raw formation energy	-1183	kJ/mol of formula units
symmetry	P-3m1 (164)

Lattice parameters (Å, degrees): 5.8594 5.8594 9.0797 90.00 90.00 120.00
Last column: nearest neighbours and their distance in Å.
Fractional positions:
Pr1 0.0000 0.0000 0.0000  12 Pt 2.93-3.14
Pr2 0.3333 0.6667 0.6106  9 Pt 3.06-3.35
Pr3 0.6667 0.3333 0.3894  9 Pt 3.06-3.35
Si1 0.0000 0.0000 0.5000  6 Pt 2.51
B1 0.3333 0.6667 0.1510  6 Pt 2.15-2.18
B2 0.6667 0.3333 0.8490  6 Pt 2.15-2.18
Pt1 0.0000 0.5000 0.0000  2 B 2.18
Pt2 0.1645 0.3290 0.2936  1 B 2.15
Pt3 0.1645 0.8355 0.2936  1 B 2.15
Pt4 0.3290 0.1645 0.7064  1 B 2.15
Pt5 0.5000 0.0000 0.0000  2 B 2.18
Pt6 0.5000 0.5000 0.0000  2 B 2.18
Pt7 0.6710 0.8355 0.2936  1 B 2.15
Pt8 0.8355 0.1645 0.7064  1 B 2.15
Pt9 0.8355 0.6710 0.7064  1 B 2.15

***

[8]
Below is a relaxed PrSiBPt6 crystal, with properties calculated at the PBE level.

Calculated values
raw formation energy	-501	kJ/mol of formula units
symmetry	Imma (74)

Lattice parameters (Å, degrees): 7.7966 7.7966 7.7966 124.10 117.20 88.98
Last column: nearest neighbours and their distance in Å.
Fractional positions:
Pr1 0.4228 0.1728 0.2500  6 Pt 2.97-3.23
Pr2 0.5772 0.8272 0.7500  6 Pt 2.97-3.23
Si1 0.0000 0.0000 0.5000  6 Pt 2.35
Si2 0.0000 0.5000 0.0000  6 Pt 2.35
B1 0.0000 0.5000 0.5000  6 Pt 2.12-2.14
B2 0.5000 0.5000 0.0000  6 Pt 2.12-2.14
Pt1 0.1044 0.4040 0.2613  1 B 2.12, 1 Si 2.35
Pt2 0.1044 0.8431 0.7004  1 B 2.12, 1 Si 2.35
Pt3 0.1325 0.8825 0.2500  2 Si 2.35
Pt4 0.3105 0.5605 0.7500  2 B 2.14
Pt5 0.3573 0.1569 0.7613  1 B 2.12, 1 Si 2.35
Pt6 0.3573 0.5960 0.2004  1 B 2.12, 1 Si 2.35
Pt7 0.6427 0.4040 0.7996  1 B 2.12, 1 Si 2.35
Pt8 0.6427 0.8431 0.2387  1 B 2.12, 1 Si 2.35
Pt9 0.6895 0.4395 0.2500  2 B 2.14
Pt10 0.8675 0.1175 0.7500  2 Si 2.35
Pt11 0.8956 0.1569 0.2996  1 B 2.12, 1 Si 2.35
Pt12 0.8956 0.5960 0.7387  1 B 2.12, 1 Si 2.35

***

[9]
Below is a relaxed PrPuB crystal, with properties calculated at the PBE level.

Calculated values
symmetry	Cmcm (63)
energy of formation	-0.009	eV/atom

Lattice parameters (Å, degrees): 10.2359 10.2359 3.2521 90.00 90.00 157.82
Last column: nearest neighbours and their distance in Å.
Fractional positions:
Pr1 0.1825 0.8175 0.7500  2 Pr 3.25, 1 B 3.28, 4 Pu 3.44
Pr2 0.8175 0.1825 0.2500  2 Pr 3.25, 1 B 3.28, 4 Pu 3.44
Pu1 0.4325 0.5675 0.7500  6 B 2.63-2.73
Pu2 0.5675 0.4325 0.2500  6 B 2.63-2.73
B1 0.0193 0.9807 0.7500  2 B 1.80
B2 0.9807 0.0193 0.2500  2 B 1.80

***

[10]
Below is a relaxed RbPrB12 crystal, with properties calculated at the PBE level.

Calculated values
symmetry	Fm-3m (225)
energy of formation	-0.290	eV/atom

Lattice parameters (Å, degrees): 5.9499 5.9499 5.9499 60.00 60.00 60.00
Last column: nearest neighbours and their distance in Å.
Fractional positions:
Rb1 0.0000 0.0000 0.0000  24 B 3.09
Pr1 0.5000 0.5000 0.5000  24 B 3.09
B1 0.1014 0.1014 0.3986  5 B 1.71-1.77
B2 0.1014 0.3986 0.1014  5 B 1.71-1.77
B3 0.1014 0.3986 0.3986  5 B 1.71-1.77
B4 0.3986 0.1014 0.1014  5 B 1.71-1.77
B5 0.3986 0.1014 0.3986  5 B 1.71-1.77
B6 0.3986 0.3986 0.1014  5 B 1.71-1.77
B7 0.6014 0.6014 0.8986  5 B 1.71-1.77
B8 0.6014 0.8986 0.6014  5 B 1.71-1.77
B9 0.6014 0.8986 0.8986  5 B 1.71-1.77
B10 0.8986 0.6014 0.6014  5 B 1.71-1.77
B11 0.8986 0.6014 0.8986  5 B 1.71-1.77
B12 0.8986 0.8986 0.6014  5 B 1.71-1.77

***

Number 1: total magnetization 0.00 μB/f.u., VASP energy -6.68 eV per atom, density of states at the Fermi level 0.9 states/eV/cell. Number 2: total magnetization 0.00 μB/f.u., VASP energy -6.66 eV per atom, density of states at the Fermi level 3.7 states/eV/cell. Number 3: total magnetization 0.00 μB/f.u., VASP energy -6.67 eV per atom, density of states at the Fermi level 7.1 states/eV/cell. Number 4: total magnetization 0.00 μB/f.u., VASP energy -7.10 eV per atom, density of states at the Fermi level 15.5 states/eV/cell. Number 5: total magnetization 0.00 μB/f.u., VASP energy -6.95 eV per atom, density of states at the Fermi level 21.2 states/eV/cell. Number 6: total magnetization 0.00 μB/f.u., VASP energy -7.19 eV per atom, density of states at the Fermi level 0.5 states/eV/cell. Number 7: total magnetization 0.00 μB/f.u., VASP energy -6.65 eV per atom, density of states at the Fermi level 7.0 states/eV/cell. Number 8: total magnetization 0.00 μB/f.u., VASP energy -6.48 eV per atom, density of states at the Fermi level 5.1 states/eV/cell. Number 9: total magnetization 5.09 μB/f.u., VASP energy -8.61 eV per atom, density of states at the Fermi level 14.1 states/eV/cell. Number 10: total magnetization 0.00 μB/f.u., VASP energy -6.42 eV per atom, density of states at the Fermi level 0.7 states/eV/cell.